# TiGa2Re

A relaxed structure of TiGa2Re (PBE-GGA, the Alexandria database).

Structure (CIF):
```
data_TiGa2Re
_space_group_name_H-M_alt 'R -3 m'
_space_group_IT_number 166
_space_group_name_Hall '-R 3 2"'
_cell_length_a 2.7770
_cell_length_b 2.7770
_cell_length_c 29.5289
_cell_angle_alpha 90.00
_cell_angle_beta 90.00
_cell_angle_gamma 120.00
loop_
_atom_site_label
_atom_site_type_symbol
_atom_site_fract_x
_atom_site_fract_y
_atom_site_fract_z
Ti1 Ti 0.0000 0.0000 0.0000
Ga1 Ga 0.0000 0.0000 0.4106
Re1 Re 0.0000 0.0000 0.5000
```

Calculated total energy   -6.37 eV per atom
M_tot   0.000 μB per atom